## P
Compound: K2RhW
Source: Alexandria
Functional: PBE
Structure: relaxed

abc: 7.067 7.067 7.067
angles: 90.00 90.00 90.00
Space group F-43m (No. 216)
Symmetry-distinct sites (fractional):
K1 0.000 0.000 0.000 x4
K2 0.250 0.250 0.250 x4
Rh1 0.000 0.000 0.500 x4
W1 0.250 0.250 0.750 x4

Values from the calculation:
* size of the total moment: 0.72 μB per formula unit



## Q
Compound: K2RhW
Source: Alexandria
Functional: PBE
Structure: relaxed

abc: 2.936 3.998 10.393
angles: 90.00 90.00 90.00
Space group Pmm2 (No. 25)
Symmetry-distinct sites (fractional):
K1 0.000 0.000 0.000 x1
K2 0.500 0.500 0.422 x1
Rh1 0.000 0.000 0.671 x1
W1 0.500 0.500 0.742 x1

Values from the calculation:
* size of the total moment: 0.00 μB per formula unit



## R
Compound: K2RhW
Source: Alexandria
Functional: PBE
Structure: relaxed

abc: 3.040 4.743 11.763
angles: 90.00 90.00 90.00
Space group Cmmm (No. 65)
Symmetry-distinct sites (fractional):
K1 0.000 0.000 0.230 x4
Rh1 0.000 0.500 0.000 x2
W1 0.000 0.500 0.500 x2

Values from the calculation:
* size of the total moment: 0.51 μB per formula unit



Relative calculated energies, zero for the most stable structure, unit meV per atom: P 954; Q 0; R 507.



## P
Compound: K2RhW
Source: Alexandria
Functional: PBE
Structure: relaxed

abc: 3.104 4.066 20.454
angles: 90.00 90.00 90.00
Space group Immm (No. 71)
Symmetry-distinct sites (fractional):
K1 0.000 0.000 0.146 x4
Rh1 0.000 0.500 0.500 x2
W1 0.000 0.500 0.000 x2

Values from the calculation:
* size of the total moment: 0.80 μB per formula unit



## Q
Compound: K2RhW
Source: Alexandria
Functional: PBE
Structure: relaxed

abc: 3.826 3.826 11.742
angles: 90.00 90.00 90.00
Space group I4/mmm (No. 139)
Symmetry-distinct sites (fractional):
K1 0.000 0.500 0.250 x4
Rh1 0.000 0.000 0.000 x2
W1 0.000 0.000 0.500 x2

Values from the calculation:
* size of the total moment: 0.00 μB per formula unit



Relative calculated energies, zero for the most stable structure, unit meV per atom: P 0; Q 522.